Density functional theory data (PBE-GGA) for NdPuTlO6 after structural relaxation.

Output
energy relative to the elements, uncorrected: -2.18 eV per atom
SG: P-31c
total energy: -7.88 eV per atom

Cell lengths 5.6747, 5.6747, 10.2058 Å; angles 90.00, 90.00, 120.00 degrees
Closest atoms and distances in Å follow each position.
Fractional coordinates of all 18 atoms:
1 Nd 0.0000 0.0000 0.0000  6 O 2.41
2 Nd 0.0000 0.0000 0.5000  6 O 2.41
3 Pu 0.3333 0.6667 0.2500  6 O 2.08
4 Pu 0.6667 0.3333 0.7500  6 O 2.08
5 Tl 0.3333 0.6667 0.7500  6 O 2.31
6 Tl 0.6667 0.3333 0.2500  6 O 2.31
7 O 0.0304 0.3627 0.1349  1 Pu 2.08, 1 Tl 2.31
8 O 0.0304 0.6677 0.3651  1 Pu 2.08, 1 Tl 2.31
9 O 0.3323 0.3627 0.3651  1 Pu 2.08, 1 Tl 2.31
10 O 0.3323 0.9696 0.1349  1 Pu 2.08, 1 Tl 2.31
11 O 0.3627 0.0304 0.6349  1 Pu 2.08, 1 Tl 2.31
12 O 0.3627 0.3323 0.8651  1 Pu 2.08, 1 Tl 2.31
13 O 0.6373 0.6677 0.1349  1 Pu 2.08, 1 Tl 2.31
14 O 0.6373 0.9696 0.3651  1 Pu 2.08, 1 Tl 2.31
15 O 0.6677 0.0304 0.8651  1 Pu 2.08, 1 Tl 2.31
16 O 0.6677 0.6373 0.6349  1 Pu 2.08, 1 Tl 2.31
17 O 0.9696 0.3323 0.6349  1 Pu 2.08, 1 Tl 2.31
18 O 0.9696 0.6373 0.8651  1 Pu 2.08, 1 Tl 2.31

---

Density functional theory data (PBE-GGA) for Y5Co2Te after structural relaxation.

Output
energy relative to the elements, uncorrected: -0.45 eV per atom
SG: I4/mcm
total energy: -6.66 eV per atom

Cell lengths 8.6799, 8.6799, 8.6799 Å; angles 128.15, 128.15, 76.38 degrees
Closest atoms and distances in Å follow each position.
Fractional coordinates of all 16 atoms:
1 Y 0.0000 0.0000 0.0000  4 Co 2.94
2 Y 0.0234 0.5234 0.8123  3 Co 2.86-2.88
3 Y 0.2111 0.0234 0.5000  3 Co 2.86-2.88
4 Y 0.2889 0.7889 0.8123  3 Co 2.86-2.88
5 Y 0.4766 0.2889 0.5000  3 Co 2.86-2.88
6 Y 0.5000 0.5000 0.0000  4 Co 2.94
7 Y 0.5234 0.7111 0.5000  3 Co 2.86-2.88
8 Y 0.7111 0.2111 0.1877  3 Co 2.86-2.88
9 Y 0.7889 0.9766 0.5000  3 Co 2.86-2.88
10 Y 0.9766 0.4766 0.1877  3 Co 2.86-2.88
11 Co 0.1374 0.3626 0.5000  8 Y 2.86-2.94, 1 Co 2.95
12 Co 0.3626 0.8626 0.2251  8 Y 2.86-2.94, 1 Co 2.95
13 Co 0.6374 0.1374 0.7749  8 Y 2.86-2.94, 1 Co 2.95
14 Co 0.8626 0.6374 0.5000  8 Y 2.86-2.94, 1 Co 2.95
15 Te 0.2500 0.2500 0.0000  10 Y 3.28-3.41
16 Te 0.7500 0.7500 0.0000  10 Y 3.28-3.41

---

Density functional theory data (PBE-GGA) for Rb3Zr5O12 after structural relaxation.

Output
energy relative to the elements, uncorrected: -2.72 eV per atom
SG: Ia-3d
total energy: -7.98 eV per atom

Cell lengths 12.1762, 12.1762, 12.1762 Å; angles 109.47, 109.47, 109.47 degrees
Closest atoms and distances in Å follow each position.
Fractional coordinates of all 80 atoms:
1 Rb 0.1250 0.2500 0.3750  8 O 2.81-3.05
2 Rb 0.1250 0.3750 0.7500  8 O 2.81-3.05
3 Rb 0.2500 0.3750 0.1250  8 O 2.81-3.05
4 Rb 0.2500 0.8750 0.6250  8 O 2.81-3.05
5 Rb 0.3750 0.1250 0.2500  8 O 2.81-3.05
6 Rb 0.3750 0.7500 0.1250  8 O 2.81-3.05
7 Rb 0.6250 0.2500 0.8750  8 O 2.81-3.05
8 Rb 0.6250 0.8750 0.7500  8 O 2.81-3.05
9 Rb 0.7500 0.1250 0.3750  8 O 2.81-3.05
10 Rb 0.7500 0.6250 0.8750  8 O 2.81-3.05
11 Rb 0.8750 0.6250 0.2500  8 O 2.81-3.05
12 Rb 0.8750 0.7500 0.6250  8 O 2.81-3.05
13 Zr 0.0000 0.0000 0.0000  6 O 2.14
14 Zr 0.0000 0.0000 0.5000  6 O 2.14
15 Zr 0.0000 0.5000 0.0000  6 O 2.14
16 Zr 0.0000 0.5000 0.5000  6 O 2.14
17 Zr 0.1250 0.7500 0.8750  4 O 2.00
18 Zr 0.1250 0.8750 0.2500  4 O 2.00
19 Zr 0.2500 0.1250 0.8750  4 O 2.00
20 Zr 0.2500 0.6250 0.3750  4 O 2.00
21 Zr 0.3750 0.2500 0.6250  4 O 2.00
22 Zr 0.3750 0.6250 0.7500  4 O 2.00
23 Zr 0.5000 0.0000 0.0000  6 O 2.14
24 Zr 0.5000 0.0000 0.5000  6 O 2.14
25 Zr 0.5000 0.5000 0.0000  6 O 2.14
26 Zr 0.5000 0.5000 0.5000  6 O 2.14
27 Zr 0.6250 0.3750 0.2500  4 O 2.00
28 Zr 0.6250 0.7500 0.3750  4 O 2.00
29 Zr 0.7500 0.3750 0.6250  4 O 2.00
30 Zr 0.7500 0.8750 0.1250  4 O 2.00
31 Zr 0.8750 0.1250 0.7500  4 O 2.00
32 Zr 0.8750 0.2500 0.1250  4 O 2.00
33 O 0.0020 0.6818 0.1056  2 Zr 2.00-2.14
34 O 0.0020 0.8202 0.8964  2 Zr 2.00-2.14
35 O 0.0762 0.6798 0.6818  2 Zr 2.00-2.14
36 O 0.0762 0.8964 0.3944  2 Zr 2.00-2.14
37 O 0.1036 0.6056 0.9238  2 Zr 2.00-2.14
38 O 0.1036 0.9980 0.1798  2 Zr 2.00-2.14
39 O 0.1056 0.0020 0.6818  2 Zr 2.00-2.14
40 O 0.1056 0.6036 0.4238  2 Zr 2.00-2.14
41 O 0.1798 0.1036 0.9980  2 Zr 2.00-2.14
42 O 0.1798 0.5762 0.1818  2 Zr 2.00-2.14
43 O 0.1818 0.1798 0.5762  2 Zr 2.00-2.14
44 O 0.1818 0.5020 0.6056  2 Zr 2.00-2.14
45 O 0.3182 0.8944 0.9980  2 Zr 2.00-2.14
46 O 0.3182 0.9238 0.3202  2 Zr 2.00-2.14
47 O 0.3202 0.3182 0.9238  2 Zr 2.00-2.14
48 O 0.3202 0.5020 0.3964  2 Zr 2.00-2.14
49 O 0.3944 0.0762 0.8964  2 Zr 2.00-2.14
50 O 0.3944 0.8182 0.4980  2 Zr 2.00-2.14
51 O 0.3964 0.3202 0.5020  2 Zr 2.00-2.14
52 O 0.3964 0.5762 0.8944  2 Zr 2.00-2.14
53 O 0.4238 0.1056 0.6036  2 Zr 2.00-2.14
54 O 0.4238 0.8182 0.8202  2 Zr 2.00-2.14
55 O 0.4980 0.3944 0.8182  2 Zr 2.00-2.14
56 O 0.4980 0.6036 0.6798  2 Zr 2.00-2.14
57 O 0.5020 0.3964 0.3202  2 Zr 2.00-2.14
58 O 0.5020 0.6056 0.1818  2 Zr 2.00-2.14
59 O 0.5762 0.1818 0.1798  2 Zr 2.00-2.14
60 O 0.5762 0.8944 0.3964  2 Zr 2.00-2.14
61 O 0.6036 0.4238 0.1056  2 Zr 2.00-2.14
62 O 0.6036 0.6798 0.4980  2 Zr 2.00-2.14
63 O 0.6056 0.1818 0.5020  2 Zr 2.00-2.14
64 O 0.6056 0.9238 0.1036  2 Zr 2.00-2.14
65 O 0.6798 0.4980 0.6036  2 Zr 2.00-2.14
66 O 0.6798 0.6818 0.0762  2 Zr 2.00-2.14
67 O 0.6818 0.0762 0.6798  2 Zr 2.00-2.14
68 O 0.6818 0.1056 0.0020  2 Zr 2.00-2.14
69 O 0.8182 0.4980 0.3944  2 Zr 2.00-2.14
70 O 0.8182 0.8202 0.4238  2 Zr 2.00-2.14
71 O 0.8202 0.4238 0.8182  2 Zr 2.00-2.14
72 O 0.8202 0.8964 0.0020  2 Zr 2.00-2.14
73 O 0.8944 0.3964 0.5762  2 Zr 2.00-2.14
74 O 0.8944 0.9980 0.3182  2 Zr 2.00-2.14
75 O 0.8964 0.0020 0.8202  2 Zr 2.00-2.14
76 O 0.8964 0.3944 0.0762  2 Zr 2.00-2.14
77 O 0.9238 0.1036 0.6056  2 Zr 2.00-2.14
78 O 0.9238 0.3202 0.3182  2 Zr 2.00-2.14
79 O 0.9980 0.1798 0.1036  2 Zr 2.00-2.14
80 O 0.9980 0.3182 0.8944  2 Zr 2.00-2.14

---

Density functional theory data (PBE-GGA) for Tb3PmSm2Ho6 after structural relaxation.

Output
SG: C2/m
total energy: -4.61 eV per atom
energy of formation: 16 meV/atom

Cell lengths 6.1696, 6.1696, 11.7661 Å; angles 95.00, 95.00, 119.96 degrees
Closest atoms and distances in Å follow each position.
Fractional coordinates of all 12 atoms:
1 Tb 0.0000 0.0000 0.0000  6 Ho 3.53-3.54, 6 Tb 3.56
2 Tb 0.3333 0.6667 0.0000  6 Ho 3.53-3.54, 6 Tb 3.56
3 Tb 0.6667 0.3333 0.0000  6 Ho 3.53-3.54, 6 Tb 3.56
4 Pm 0.5000 0.5000 0.5000  6 Sm 3.56, 6 Ho 3.57
5 Sm 0.1667 0.8333 0.5000  3 Sm 3.56, 3 Pm 3.56, 6 Ho 3.57
6 Sm 0.8333 0.1667 0.5000  3 Sm 3.56, 3 Pm 3.56, 6 Ho 3.57
7 Ho 0.0820 0.4154 0.2481  3 Tb 3.53-3.54, 6 Ho 3.56, 2 Sm 3.57, 1 Pm 3.57
8 Ho 0.2512 0.2512 0.7519  3 Tb 3.53-3.54, 6 Ho 3.56, 1 Pm 3.57, 2 Sm 3.57
9 Ho 0.4154 0.0820 0.2481  3 Tb 3.53-3.54, 6 Ho 3.56, 2 Sm 3.57, 1 Pm 3.57
10 Ho 0.5846 0.9180 0.7519  3 Tb 3.53-3.54, 6 Ho 3.56, 2 Sm 3.57, 1 Pm 3.57
11 Ho 0.7488 0.7488 0.2481  3 Tb 3.53-3.54, 6 Ho 3.56, 1 Pm 3.57, 2 Sm 3.57
12 Ho 0.9180 0.5846 0.7519  3 Tb 3.53-3.54, 6 Ho 3.56, 2 Sm 3.57, 1 Pm 3.57

---

Density functional theory data (PBE-GGA) for BaGe2W after structural relaxation.

Output
SG: Fm-3m
total energy: -5.37 eV per atom
energy of formation: 656 meV/atom

Cell lengths 5.0144, 5.0144, 5.0144 Å; angles 60.00, 60.00, 60.00 degrees
Closest atoms and distances in Å follow each position.
Fractional coordinates of all 4 atoms:
1 Ba 0.0000 0.0000 0.0000  8 Ge 3.07
2 Ge 0.2500 0.2500 0.2500  4 W 3.07, 4 Ba 3.07
3 Ge 0.7500 0.7500 0.7500  4 W 3.07, 4 Ba 3.07
4 W 0.5000 0.5000 0.5000  8 Ge 3.07

---

Density functional theory data (PBE-GGA) for K3Ag after structural relaxation.

Output
SG: I4/mmm
total energy: -1.43 eV per atom
energy of formation: 108 meV/atom

Cell lengths 6.3313, 6.3313, 6.3313 Å; angles 119.73, 119.73, 90.47 degrees
Closest atoms and distances in Å follow each position.
Fractional coordinates of all 4 atoms:
1 K 0.0000 0.0000 0.0000  8 K 3.88
2 K 0.2500 0.7500 0.5000  4 K 3.88, 4 Ag 3.88
3 K 0.7500 0.2500 0.5000  4 K 3.88, 4 Ag 3.88
4 Ag 0.5000 0.5000 0.0000  8 K 3.88

---

Density functional theory data (PBE-GGA) for CePaAlOs after structural relaxation.

Output
SG: F-43m
total energy: -7.77 eV per atom
energy of formation: -167 meV/atom

Cell lengths 4.8283, 4.8283, 4.8283 Å; angles 60.00, 60.00, 60.00 degrees
Closest atoms and distances in Å follow each position.
Fractional coordinates of all 4 atoms:
1 Ce 0.0000 0.0000 0.0000  4 Pa 2.96, 4 Al 2.96
2 Pa 0.2500 0.2500 0.2500  4 Ce 2.96, 4 Os 2.96
3 Al 0.7500 0.7500 0.7500  4 Ce 2.96, 4 Os 2.96
4 Os 0.5000 0.5000 0.5000  4 Pa 2.96, 4 Al 2.96

---

Density functional theory data (PBE-GGA) for Ac2AlGa4Ir3 after structural relaxation.

Output
SG: P-4m2
total energy: -5.69 eV per atom
energy of formation: -627 meV/atom

Cell lengths 4.2733, 4.2733, 11.1547 Å; angles 90.00, 90.00, 90.00 degrees
Closest atoms and distances in Å follow each position.
Fractional coordinates of all 10 atoms:
1 Ac 0.0000 0.5000 0.2438  6 Ir 3.28-3.57, 8 Ga 3.31-3.46, 2 Al 3.57
2 Ac 0.5000 0.0000 0.7562  6 Ir 3.28-3.57, 8 Ga 3.31-3.46, 2 Al 3.57
3 Al 0.0000 0.0000 0.5000  4 Ga 2.61
4 Ga 0.0000 0.0000 0.0000  4 Ir 2.58
5 Ga 0.0000 0.5000 0.6343  2 Al 2.61, 3 Ir 2.61-2.63
6 Ga 0.5000 0.0000 0.3657  2 Al 2.61, 3 Ir 2.61-2.63
7 Ga 0.5000 0.5000 0.0000  4 Ir 2.58
8 Ir 0.0000 0.5000 0.8703  5 Ga 2.58-2.63
9 Ir 0.5000 0.0000 0.1297  5 Ga 2.58-2.63
10 Ir 0.5000 0.5000 0.5000  4 Ga 2.61

---

> total energy of number 8 (Ac2AlGa4Ir3)?

-5.69 eV per atom